HgSe3 | PBEsol | relaxed

a b c (Å): 3.780 7.081 7.487
angles (deg): 90.00 90.00 90.00
Atoms (fractional coordinates):
Hg 0.000 0.000 0.000
Hg 0.500 0.500 0.500
Se 0.000 0.000 0.500
Se 0.000 0.500 0.238
Se 0.000 0.500 0.762
Se 0.500 0.000 0.262
Se 0.500 0.000 0.738
Se 0.500 0.500 0.000

formation energy (no corrections): 15.1 kJ per mole of atoms
calculated density: 7.25 g/cm³

***

HgSe2 | PBEsol | relaxed

a b c (Å): 3.571 3.571 14.490
angles (deg): 90.00 90.00 90.00
Atoms (fractional coordinates):
Hg 0.000 0.000 0.000
Hg 0.500 0.500 0.500
Se 0.000 0.000 0.227
Se 0.000 0.000 0.773
Se 0.500 0.500 0.273
Se 0.500 0.500 0.727

formation energy (no corrections): 20.1 kJ per mole of atoms
calculated density: 6.44 g/cm³
polymorph energy (0 for the lowest one): 192.0 meV/atom

***

HgSe3 | PBEsol | relaxed

a b c (Å): 4.928 4.928 3.379
angles (deg): 90.00 90.00 90.00
Atoms (fractional coordinates):
Hg 0.000 0.000 0.000
Se 0.000 0.500 0.500
Se 0.500 0.000 0.500
Se 0.500 0.500 0.000

formation energy (no corrections): 36.2 kJ per mole of atoms
calculated density: 8.85 g/cm³

***

HgSe3 | PBEsol | relaxed

a b c (Å): 6.898 6.898 6.898
angles (deg): 90.00 90.00 90.00
Atoms (fractional coordinates):
Hg 0.000 0.000 0.000
Hg 0.000 0.500 0.500
Hg 0.500 0.000 0.500
Hg 0.500 0.500 0.000
Se 0.000 0.000 0.500
Se 0.000 0.500 0.000
Se 0.250 0.250 0.250
Se 0.250 0.250 0.750
Se 0.250 0.750 0.250
Se 0.250 0.750 0.750
Se 0.500 0.000 0.000
Se 0.500 0.500 0.500
Se 0.750 0.250 0.250
Se 0.750 0.250 0.750
Se 0.750 0.750 0.250
Se 0.750 0.750 0.750

formation energy (no corrections): 37.8 kJ per mole of atoms
calculated density: 8.85 g/cm³

***

HgSe2 | PBEsol | relaxed

a b c (Å): 3.988 3.988 4.843
angles (deg): 90.00 90.00 120.00
Atoms (fractional coordinates):
Hg 0.000 0.000 0.000
Se 0.333 0.667 0.317
Se 0.667 0.333 0.683

formation energy (no corrections): 4.9 kJ per mole of atoms
calculated density: 8.93 g/cm³
polymorph energy (0 for the lowest one): 33.9 meV/atom

***

Hg5Se | PBEsol | relaxed

a b c (Å): 4.104 12.199 5.923
angles (deg): 90.00 90.00 90.00
Atoms (fractional coordinates):
Hg 0.000 0.000 0.000
Hg 0.000 0.334 0.000
Hg 0.000 0.336 0.500
Hg 0.000 0.664 0.500
Hg 0.000 0.666 0.000
Hg 0.500 0.164 0.500
Hg 0.500 0.166 0.000
Hg 0.500 0.500 0.000
Hg 0.500 0.834 0.000
Hg 0.500 0.836 0.500
Se 0.000 0.000 0.500
Se 0.500 0.500 0.500

formation energy (no corrections): 0.0 kJ per mole of atoms
calculated density: 12.12 g/cm³

***

SiHg4Se6 | PBEsol | relaxed

a b c (Å): 7.405 7.405 12.761
angles (deg): 107.00 107.00 60.07
Atoms (fractional coordinates):
Si 0.237 0.763 0.500
Si 0.763 0.237 0.000
Hg 0.175 0.363 0.257
Hg 0.363 0.175 0.757
Hg 0.364 0.768 0.084
Hg 0.638 0.860 0.437
Hg 0.768 0.364 0.584
Hg 0.860 0.638 0.937
Hg 0.889 0.995 0.242
Hg 0.995 0.889 0.742
Se 0.062 0.565 0.457
Se 0.073 0.086 0.451
Se 0.086 0.073 0.951
Se 0.123 0.633 0.128
Se 0.360 0.791 0.687
Se 0.518 0.999 0.247
Se 0.521 0.558 0.411
Se 0.558 0.521 0.911
Se 0.565 0.062 0.957
Se 0.633 0.123 0.628
Se 0.791 0.360 0.187
Se 0.999 0.518 0.747

formation energy (no corrections): -24.5 kJ per mole of atoms
calculated density: 7.59 g/cm³

***

SiHg2Se | PBEsol | relaxed

a b c (Å): 2.886 4.638 13.122
angles (deg): 90.00 90.00 90.00
Atoms (fractional coordinates):
Si 0.000 0.000 0.000
Si 0.500 0.500 0.500
Hg 0.000 0.500 0.307
Hg 0.000 0.500 0.693
Hg 0.500 0.000 0.193
Hg 0.500 0.000 0.807
Se 0.000 0.000 0.500
Se 0.500 0.500 0.000

formation energy (no corrections): 22.1 kJ per mole of atoms
calculated density: 9.61 g/cm³
polymorph energy (0 for the lowest one): 169.6 meV/atom